Entry 1
The following is a DFT calculation (PBE) of a relaxed URhAu crystal.

abc: 3.2795 3.2795 5.9131
angles: 106.10 106.10 90.00
With the nearest neighbours (Å) after each atom.
Element x y z (fractional)
U 0.3157 0.3157 0.6314  4 Rh 2.78
Rh 0.6745 0.6745 0.3491  4 U 2.78, 4 Au 2.93
Au 0.0098 0.0098 0.0196  4 Rh 2.93, 4 U 3.14, 4 Au 3.28

Output
Size of the total moment (Bohr magnetons per cell): 1.9
Space group: No. 107

Entry 2
The following is a DFT calculation (PBE) of a relaxed URhAu crystal.

abc: 3.0722 4.8333 7.9151
angles: 90.00 101.19 90.00
With the nearest neighbours (Å) after each atom.
Element x y z (fractional)
U 0.9031 0.7500 0.8063  6 Rh 2.86-2.93, 2 U 3.07, 2 Au 3.10
Au 0.7778 0.2500 0.5557  2 Rh 2.97, 6 Au 2.99-3.07, 4 U 3.10-3.20
Rh 0.4417 0.2500 0.8835  6 U 2.86-2.93, 2 Au 2.97, 4 Rh 3.02-3.07
Rh 0.5583 0.7500 0.1165  6 U 2.86-2.93, 2 Au 2.97, 4 Rh 3.02-3.07
U 0.0969 0.2500 0.1937  6 Rh 2.86-2.93, 2 U 3.07, 2 Au 3.10
Au 0.2222 0.7500 0.4443  2 Rh 2.97, 6 Au 2.99-3.07, 4 U 3.10-3.20

Output
Size of the total moment (Bohr magnetons per cell): 4.0
Space group: No. 63

Relative energies with respect to the most stable structure, expressed in meV per atom: entry 1 38; entry 2 0.

Entry 1
The following is a DFT calculation (PBE) of a relaxed VRh3Au crystal.

abc: 4.8282 4.8282 4.8282
angles: 90.00 90.00 90.00
With the nearest neighbours (Å) after each atom.
Element x y z (fractional)
Rh 0.0000 0.0000 0.5000  2 Au 2.41
Au 0.0000 0.0000 0.0000  6 Rh 2.41
Rh 0.0000 0.5000 0.0000  2 Au 2.41
V 0.5000 0.5000 0.5000  12 Rh 3.41
Rh 0.5000 0.0000 0.0000  2 Au 2.41

Output
Size of the total moment (Bohr magnetons per cell): 1.2
Space group: No. 221

Entry 2
The following is a DFT calculation (PBE) of a relaxed VRh3Au crystal.

abc: 4.4647 4.4647 4.4647
angles: 90.00 90.00 90.00
With the nearest neighbours (Å) after each atom.
Element x y z (fractional)
Rh 0.0000 0.0000 0.5000  2 V 2.23
Rh 0.5000 0.0000 0.0000  2 V 2.23
Rh 0.0000 0.5000 0.0000  2 V 2.23
V 0.0000 0.0000 0.0000  6 Rh 2.23
Au 0.5000 0.5000 0.5000  12 Rh 3.16

Output
Size of the total moment (Bohr magnetons per cell): 0.0
Space group: No. 221

Relative energies with respect to the most stable structure, expressed in meV per atom: entry 1 1087; entry 2 0.

Entry 1
The following is a DFT calculation (PBE) of a relaxed RhWAu crystal.

abc: 2.8235 2.8235 7.0081
angles: 90.00 90.00 120.00
With the nearest neighbours (Å) after each atom.
Element x y z (fractional)
W 0.3333 0.6667 0.6488  3 Rh 2.65, 6 W 2.82, 3 Au 2.95
Rh 0.6667 0.3333 0.3511  3 W 2.65, 6 Rh 2.82, 3 Au 2.95
Au 0.0000 0.0000 0.0001  6 Au 2.82, 3 Rh 2.95, 3 W 2.95

Output
Size of the total moment (Bohr magnetons per cell): 0.0
Space group: No. 156

Entry 2
The following is a DFT calculation (PBE) of a relaxed RhWAu crystal.

abc: 4.2892 4.2892 4.2892
angles: 60.00 60.00 60.00
With the nearest neighbours (Å) after each atom.
Element x y z (fractional)
W 0.0000 0.0000 0.0000  4 Rh 2.63
Au 0.5000 0.5000 0.5000  4 Rh 2.63
Rh 0.2500 0.2500 0.2500  4 W 2.63, 4 Au 2.63

Output
Size of the total moment (Bohr magnetons per cell): 0.6
Space group: No. 216

Relative energies with respect to the most stable structure, expressed in meV per atom: entry 1 0; entry 2 562.

Entry 1
The following is a DFT calculation (PBE) of a relaxed RhWAu crystal.

abc: 4.8921 4.8921 4.8921
angles: 140.01 140.01 57.84
With the nearest neighbours (Å) after each atom.
Element x y z (fractional)
Au 0.9988 0.9988 0.0000  5 W 2.76-2.81, 5 Rh 2.79-2.80
Rh 0.3252 0.3252 0.0000  5 W 2.69-3.00, 5 Au 2.79-2.80
W 0.6760 0.6760 0.0000  5 Rh 2.69-3.00, 5 Au 2.76-2.81

Output
Size of the total moment (Bohr magnetons per cell): 0.0
Space group: No. 107

Entry 2
The following is a DFT calculation (PBE) of a relaxed RhWAu crystal.

abc: 6.3038 6.3038 6.3038
angles: 154.02 154.02 37.06
With the nearest neighbours (Å) after each atom.
Element x y z (fractional)
Au 0.0019 0.0019 0.0000  4 Au 2.83, 4 W 2.89, 4 Rh 2.94
W 0.6757 0.6757 0.0000  4 Rh 2.66, 4 W 2.83, 4 Au 2.89
Rh 0.3223 0.3223 0.0000  4 W 2.66, 4 Rh 2.83, 4 Au 2.94

Output
Size of the total moment (Bohr magnetons per cell): 0.0
Space group: No. 107

Entry 3
The following is a DFT calculation (PBE) of a relaxed RhWAu crystal.

abc: 5.8975 5.8616 6.5770
angles: 93.43 90.00 90.00
With the nearest neighbours (Å) after each atom.
Element x y z (fractional)
W 0.2764 0.9999 0.0000  4 Rh 2.48-2.63, 1 W 2.64
Au 0.2436 0.5001 0.4999  4 Rh 2.74-2.80, 2 Au 2.87-3.02, 2 W 2.93
Au 0.2564 0.5001 0.9999  4 Rh 2.74-2.80, 2 Au 2.87-3.02, 2 W 2.93
W 0.2236 0.9999 0.5000  4 Rh 2.48-2.63, 1 W 2.64
Rh 0.9999 0.7850 0.7775  4 W 2.48-2.63, 2 Au 2.74
Rh 0.4999 0.2150 0.7225  4 W 2.48-2.63, 2 Au 2.74
W 0.7236 0.0001 0.0000  4 Rh 2.48-2.63, 1 W 2.64
Rh 0.5001 0.7850 0.2775  4 W 2.48-2.63, 2 Au 2.74
W 0.7764 0.0001 0.5000  4 Rh 2.48-2.63, 1 W 2.64
Au 0.7564 0.4999 0.5001  4 Rh 2.74-2.80, 2 Au 2.87-3.02, 2 W 2.93
Au 0.7436 0.4999 0.0001  4 Rh 2.74-2.80, 2 Au 2.87-3.02, 2 W 2.93
Rh 0.0001 0.2150 0.2225  4 W 2.48-2.63, 2 Au 2.74

Output
Size of the total moment (Bohr magnetons per cell): 0.0
Space group: No. 12

Relative energies with respect to the most stable structure, expressed in meV per atom: entry 1 107; entry 2 0; entry 3 359.

Entry 1
The following is a DFT calculation (PBE) of a relaxed Rh3WAu crystal.

abc: 4.6819 4.6819 4.6819
angles: 90.00 90.00 90.00
With the nearest neighbours (Å) after each atom.
Element x y z (fractional)
Rh 0.0000 0.0000 0.5000  2 W 2.34
W 0.0000 0.0000 0.0000  6 Rh 2.34
Au 0.5000 0.5000 0.5000  12 Rh 3.31
Rh 0.0000 0.5000 0.0000  2 W 2.34
Rh 0.5000 0.0000 0.0000  2 W 2.34

Output
Size of the total moment (Bohr magnetons per cell): 0.0
Space group: No. 221

Entry 2
The following is a DFT calculation (PBE) of a relaxed Rh3WAu crystal.

abc: 4.7326 4.7326 4.7326
angles: 90.00 90.00 90.00
With the nearest neighbours (Å) after each atom.
Element x y z (fractional)
Rh 0.0000 0.5000 0.0000  2 Au 2.37
W 0.5000 0.5000 0.5000  12 Rh 3.35
Rh 0.5000 0.0000 0.0000  2 Au 2.37
Rh 0.0000 0.0000 0.5000  2 Au 2.37
Au 0.0000 0.0000 0.0000  6 Rh 2.37

Output
Size of the total moment (Bohr magnetons per cell): 0.0
Space group: No. 221

Relative energies with respect to the most stable structure, expressed in meV per atom: entry 1 0; entry 2 1173.

Entry 1
The following is a DFT calculation (PBE) of a relaxed RhW3Au crystal.

abc: 4.7797 4.7797 4.7797
angles: 90.00 90.00 90.00
With the nearest neighbours (Å) after each atom.
Element x y z (fractional)
W 0.5000 0.0000 0.0000  2 Au 2.39
Au 0.0000 0.0000 0.0000  6 W 2.39
W 0.0000 0.0000 0.5000  2 Au 2.39
W 0.0000 0.5000 0.0000  2 Au 2.39
Rh 0.5000 0.5000 0.5000  12 W 3.38

Output
Size of the total moment (Bohr magnetons per cell): 0.0
Space group: No. 221

Entry 2
The following is a DFT calculation (PBE) of a relaxed RhW3Au crystal.

abc: 4.6842 4.6842 4.6842
angles: 90.00 90.00 90.00
With the nearest neighbours (Å) after each atom.
Element x y z (fractional)
Rh 0.0000 0.0000 0.0000  6 W 2.34
Au 0.5000 0.5000 0.5000  12 W 3.31
W 0.0000 0.0000 0.5000  2 Rh 2.34
W 0.5000 0.0000 0.0000  2 Rh 2.34
W 0.0000 0.5000 0.0000  2 Rh 2.34

Output
Size of the total moment (Bohr magnetons per cell): 0.0
Space group: No. 221

Relative energies with respect to the most stable structure, expressed in meV per atom: entry 1 848; entry 2 0.